An optimized crystal structure of MnV2SbO6, computed with PBE with a Hubbard U.

As for the crystal system: triclinic. The value obtained for the calculated total energy is -73.37 eV/cell.

It has space group P1 (No. 1), with a = 5.4022 Å, b = 5.4073 Å, c = 5.5450 Å, α = 90.80°, β = 118.86° and γ = 119.16°. Symmetry generates all atoms from Mn at (0.0000, 0.0000, 0.0000), V at (0.5616, 0.2852, 0.8364), V at (0.5644, 0.7799, 0.3495), Sb at (0.9876, 0.4778, 0.4896), O at (0.0694, 0.4234, 0.1396), O at (0.0710, 0.1332, 0.6189), O at (0.5008, 0.0816, 0.1430), O at (0.5162, 0.9474, 0.6114), O at (0.6838, 0.5544, 0.6224) and O at (0.6997, 0.6611, 0.1339).